No. 1
## CoHgIN2 (PBE)

Data for a relaxed CoHgIN2 crystal.

Properties
Energy relative to the elements, uncorrected (eV per atom): 1.31
Polymorph energy (0 for the lowest one) (meV/atom): 0

abc: 3.830 3.830 7.306
angles: 90.00 90.00 90.00
Last column: magnetic moment on the atom in μB.
Sites, in units of the cell vectors:
I: 0.000 0.000 0.500  0.00
Co: 0.000 0.000 0.000  0.35
Hg: 0.500 0.500 0.500  0.00
N: 0.000 0.500 0.000  0.05
N: 0.500 0.000 0.000  0.05

No. 2
## SiNi3Sn (PBE)

Data for a relaxed SiNi3Sn crystal.

Properties
Energy relative to the elements, uncorrected (eV per atom): 0.15
Polymorph energy (0 for the lowest one) (meV/atom): 0

abc: 4.266 4.266 4.266
angles: 90.00 90.00 90.00
Sites, in units of the cell vectors:
Ni: 0.000 0.500 0.000
Ni: 0.000 0.000 0.500
Ni: 0.500 0.000 0.000
Si: 0.000 0.000 0.000
Sn: 0.500 0.500 0.500

No. 3
## BaIn2Ge (PBE)

Data for a relaxed BaIn2Ge crystal.

Properties
ΔH_f (0 K) (kJ/mol of atoms): -14.1
Polymorph energy (0 for the lowest one) (meV/atom): 197

abc: 5.253 5.253 10.787
angles: 75.91 75.91 90.00
Sites, in units of the cell vectors:
Ge: 0.500 0.500 0.000
Ge: 0.250 0.750 0.500
Ba: 0.000 0.000 0.000
Ba: 0.750 0.250 0.500
In: 0.479 0.125 0.250
In: 0.271 0.625 0.250
In: 0.375 0.521 0.750
In: 0.875 0.729 0.750

No. 4
## MgBe2TcP (PBE)

Data for a relaxed MgBe2TcP crystal.

Properties
ΔH_f (0 K) (kJ/mol of atoms): 32.0

abc: 4.352 4.428 4.352
angles: 90.00 90.00 90.00
Sites, in units of the cell vectors:
P: 0.000 0.500 0.000
Mg: 0.500 0.500 0.500
Tc: 0.000 0.000 0.000
Be: 0.000 0.000 0.500
Be: 0.500 0.000 0.000